Record 1
Entry from the Alexandria database: crystalline CrSiGe3 at its relaxed geometry (GGA-PBE).

Magnetization: 1.35 Bohr magnetons per cell
Formation energy from raw total energies: 632 meV per atom
Final energy: -5.1476 eV per atom

The structure in CIF format:
```
data_CrSiGe3
_cell_length_a 4.658
_cell_length_b 4.658
_cell_length_c 4.658
_cell_angle_alpha 90.00
_cell_angle_beta 90.00
_cell_angle_gamma 90.00
_symmetry_space_group_name_H-M 'P 1'
_symmetry_Int_Tables_number 1
_symmetry_space_group_name_Hall 'P 1'
loop_
_atom_site_label
_atom_site_fract_x
_atom_site_fract_y
_atom_site_fract_z
Ge1 0.000 0.500 0.000
Ge2 0.000 0.000 0.500
Ge3 0.500 0.000 0.000
Si1 0.500 0.500 0.500
Cr1 0.000 0.000 0.000
```

=====

Record 2
Entry from the Alexandria database: crystalline CrSi2Ge2 at its relaxed geometry (GGA-PBE).

Magnetization: 5.32 Bohr magnetons per cell
Formation energy from raw total energies: 342 meV per atom
Final energy: -5.5990 eV per atom

The structure in CIF format:
```
data_CrSi2Ge2
_cell_length_a 6.398
_cell_length_b 6.398
_cell_length_c 4.059
_cell_angle_alpha 90.00
_cell_angle_beta 90.00
_cell_angle_gamma 90.00
_symmetry_space_group_name_H-M 'P 1'
_symmetry_Int_Tables_number 1
_symmetry_space_group_name_Hall 'P 1'
loop_
_atom_site_label
_atom_site_fract_x
_atom_site_fract_y
_atom_site_fract_z
Si1 0.866 0.634 0.000
Si2 0.366 0.866 0.000
Si3 0.634 0.134 0.000
Si4 0.134 0.366 0.000
Ge1 0.179 0.679 0.500
Ge2 0.679 0.821 0.500
Ge3 0.321 0.179 0.500
Ge4 0.821 0.321 0.500
Cr1 0.000 0.000 0.000
Cr2 0.500 0.500 0.000
```

=====

Record 3
Entry from the Alexandria database: crystalline CrSiGe at its relaxed geometry (GGA-PBE).

Magnetization: 0.00 Bohr magnetons per cell
Formation energy from raw total energies: -173 meV per atom
Final energy: -6.7275 eV per atom

The structure in CIF format:
```
data_CrSiGe
_cell_length_a 3.352
_cell_length_b 3.352
_cell_length_c 7.303
_cell_angle_alpha 90.00
_cell_angle_beta 90.00
_cell_angle_gamma 90.00
_symmetry_space_group_name_H-M 'P 1'
_symmetry_Int_Tables_number 1
_symmetry_space_group_name_Hall 'P 1'
loop_
_atom_site_label
_atom_site_fract_x
_atom_site_fract_y
_atom_site_fract_z
Cr1 0.500 0.000 0.243
Cr2 0.000 0.500 0.757
Si1 0.000 0.000 0.000
Si2 0.500 0.500 0.000
Ge1 0.500 0.000 0.608
Ge2 0.000 0.500 0.392
```

=====

Record 4
Entry from the Alexandria database: crystalline CrSi2Ge2 at its relaxed geometry (GGA-PBE).

Magnetization: 0.00 Bohr magnetons per cell
Formation energy from raw total energies: 706 meV per atom
Final energy: -5.2346 eV per atom

The structure in CIF format:
```
data_CrSi2Ge2
_cell_length_a 3.385
_cell_length_b 3.385
_cell_length_c 7.719
_cell_angle_alpha 77.33
_cell_angle_beta 77.33
_cell_angle_gamma 90.00
_symmetry_space_group_name_H-M 'P 1'
_symmetry_Int_Tables_number 1
_symmetry_space_group_name_Hall 'P 1'
loop_
_atom_site_label
_atom_site_fract_x
_atom_site_fract_y
_atom_site_fract_z
Cr1 0.000 0.000 0.000
Si1 0.582 0.582 0.836
Si2 0.418 0.418 0.164
Ge1 0.250 0.750 0.500
Ge2 0.750 0.250 0.500
```